Sr2CaGd PBE relaxed; N(E_F) = 1.987 states/eV/atom; offset from the most stable computed form = 45.1 meV per atom; space group = Fm-3m, No. 225; mass density = 3.5 g/cm³
1.0
6.2945 0.0000 0.0000
3.1473 5.4512 0.0000
3.1473 1.8171 5.1395
Gd Ca Sr
1 1 2
direct
0.0000 0.0000 0.0000 Gd
0.5000 0.5000 0.5000 Ca
0.7500 0.7500 0.7500 Sr
0.2500 0.2500 0.2500 Sr

---

SrCa2Gd PBE relaxed; N(E_F) = 1.807 states/eV/atom; offset from the most stable computed form = 0.0 meV per atom; space group = P4/mmm, No. 123; mass density = 3.2 g/cm³
1.0
3.9165 0.0000 0.0000
0.0000 3.9165 0.0000
0.0000 0.0000 10.9474
Ca Sr Gd
2 1 1
direct
0.0000 0.0000 0.7259 Ca
0.0000 0.0000 0.2741 Ca
0.5000 0.5000 0.0000 Sr
0.5000 0.5000 0.5000 Gd

---

SrCaGd PBE relaxed; E_tot = -5.7991 eV/atom; N(E_F) = 2.237 states/eV/atom; space group = P3m1, No. 156; mass density = 3.8 g/cm³
1.0
-1.2008 -3.4859 -1.1609
2.4187 0.3112 2.9990
-7.5336 0.5923 6.0143
Sr Gd Ca
1 1 1
direct
0.0000 0.0000 0.0086 Sr
0.6667 0.3333 0.3404 Gd
0.3333 0.6667 0.6510 Ca